## Li2TiO3 (PBE)

Data for a relaxed structure of Li2TiO3.

```
data_Li2TiO3
_space_group_name_H-M_alt 'P -1'
_space_group_IT_number 2
_space_group_name_Hall '-P 1'
_cell_length_a 5.033
_cell_length_b 5.084
_cell_length_c 7.613
_cell_angle_alpha 70.77
_cell_angle_beta 89.64
_cell_angle_gamma 61.87
loop_
_atom_site_label
_atom_site_fract_x
_atom_site_fract_y
_atom_site_fract_z
Li1 0.109 0.437 0.332
Li2 0.215 0.890 0.665
Li3 0.330 0.346 0.002
Ti1 0.000 0.000 0.000
Ti2 0.464 0.779 0.333
O1 0.078 0.184 0.169
O2 0.210 0.640 0.508
O3 0.271 0.117 0.827
O4 0.365 0.603 0.160
O5 0.500 0.000 0.500
```

***

## LiTi2O4 (PBE)

Data for a relaxed structure of LiTi2O4.

```
data_LiTi2O4
_space_group_name_H-M_alt 'P n n m'
_space_group_IT_number 58
_space_group_name_Hall '-P 2 2n'
_cell_length_a 8.209
_cell_length_b 9.220
_cell_length_c 3.806
_cell_angle_alpha 90.00
_cell_angle_beta 90.00
_cell_angle_gamma 90.00
loop_
_atom_site_label
_atom_site_fract_x
_atom_site_fract_y
_atom_site_fract_z
Li1 0.124 0.168 0.000
Ti1 0.117 0.606 0.000
Ti2 0.137 0.886 0.500
O1 0.117 0.844 0.000
O2 0.124 0.095 0.500
O3 0.126 0.388 0.000
O4 0.134 0.652 0.500
```

***

## LiTi2O4 (PBE)

Data for a relaxed structure of LiTi2O4.

```
data_LiTi2O4
_space_group_name_H-M_alt 'P 1 21/m 1'
_space_group_IT_number 11
_space_group_name_Hall '-P 2yb'
_cell_length_a 5.141
_cell_length_b 5.977
_cell_length_c 5.318
_cell_angle_alpha 90.00
_cell_angle_beta 90.45
_cell_angle_gamma 90.00
loop_
_atom_site_label
_atom_site_fract_x
_atom_site_fract_y
_atom_site_fract_z
Li1 0.195 0.250 0.439
Ti1 0.000 0.000 0.000
Ti2 0.477 0.750 0.015
O1 0.154 0.750 0.798
O2 0.164 0.250 0.801
O3 0.336 0.011 0.198
```

***

## Li4Ti5O12 (PBE)

Data for a relaxed structure of Li4Ti5O12.

```
data_Li4Ti5O12
_space_group_name_H-M_alt 'P -1'
_space_group_IT_number 2
_space_group_name_Hall '-P 1'
_cell_length_a 5.303
_cell_length_b 9.455
_cell_length_c 9.905
_cell_angle_alpha 73.30
_cell_angle_beta 78.74
_cell_angle_gamma 79.20
loop_
_atom_site_label
_atom_site_fract_x
_atom_site_fract_y
_atom_site_fract_z
Li1 0.123 0.410 0.406
Li2 0.271 0.906 0.022
Li3 0.312 0.778 0.554
Li4 0.332 0.573 0.113
Ti1 0.140 0.596 0.848
Ti2 0.166 0.099 0.676
Ti3 0.190 0.260 0.933
Ti4 0.285 0.101 0.274
Ti5 0.433 0.411 0.646
O1 0.052 0.262 0.303
O2 0.060 0.426 0.778
O3 0.104 0.101 0.862
O4 0.133 0.932 0.376
O5 0.155 0.729 0.953
O6 0.237 0.424 0.010
O7 0.265 0.569 0.484
O8 0.314 0.261 0.569
O9 0.348 0.103 0.088
O10 0.403 0.930 0.657
O11 0.455 0.577 0.729
O12 0.475 0.728 0.186
```

***

## Li3Ti6O13 (PBE)

Data for a relaxed structure of Li3Ti6O13.

```
data_Li3Ti6O13
_space_group_name_H-M_alt 'C 1 2/m 1'
_space_group_IT_number 12
_space_group_name_Hall '-C 2y'
_cell_length_a 12.005
_cell_length_b 3.961
_cell_length_c 10.614
_cell_angle_alpha 90.00
_cell_angle_beta 100.62
_cell_angle_gamma 90.00
loop_
_atom_site_label
_atom_site_fract_x
_atom_site_fract_y
_atom_site_fract_z
Li1 0.000 0.000 0.000
Li2 0.072 0.000 0.419
Ti1 0.098 0.500 0.644
Ti2 0.158 0.500 0.999
Ti3 0.216 0.500 0.355
O1 0.000 0.500 0.000
O2 0.067 0.500 0.406
O3 0.108 0.000 0.610
O4 0.121 0.500 0.810
O5 0.170 0.000 0.000
O6 0.183 0.500 0.190
O7 0.238 0.000 0.396
```

***

## LiTi2O4 (PBE)

Data for a relaxed structure of LiTi2O4.

```
data_LiTi2O4
_space_group_name_H-M_alt 'I m m a'
_space_group_IT_number 74
_space_group_name_Hall '-I 2b 2'
_cell_length_a 5.867
_cell_length_b 6.001
_cell_length_c 8.433
_cell_angle_alpha 90.00
_cell_angle_beta 90.00
_cell_angle_gamma 90.00
loop_
_atom_site_label
_atom_site_fract_x
_atom_site_fract_y
_atom_site_fract_z
Li1 0.000 0.000 0.000
Ti1 0.000 0.250 0.382
Ti2 0.250 0.250 0.750
O1 0.000 0.007 0.749
O2 0.247 0.250 0.514
```

***

Number 1: E_form (uncorrected) -2.6171 eV per atom, total magnetic moment 0.000 μB/atom. Number 2: E_form (uncorrected) -2.8209 eV per atom, total magnetic moment 0.000 μB/atom. Number 3: E_form (uncorrected) -2.7568 eV per atom, total magnetic moment 0.144 μB/atom. Number 4: E_form (uncorrected) -2.7794 eV per atom, total magnetic moment 0.000 μB/atom. Number 5: E_form (uncorrected) -2.7979 eV per atom, total magnetic moment 0.000 μB/atom. Number 6: E_form (uncorrected) -2.7777 eV per atom, total magnetic moment 0.000 μB/atom.